Entry 1:
# PBE TlPd2Br6, relaxed
# Crystal system: monoclinic
# D(E_F): 0.164 states/eV per atom
# Calculated total energy: -2.875 eV/atom
# Energy above the most stable polymorph in this dataset: 0.019 eV/atom
# Uncorrected formation energy: -0.34 eV/atom
data_TlPd2Br6
_cell_length_a 15.031
_cell_length_b 12.492
_cell_length_c 7.929
_cell_angle_alpha 90.00
_cell_angle_beta 117.03
_cell_angle_gamma 90.00
_symmetry_space_group_name_H-M 'C 1 2/c 1'
_symmetry_Int_Tables_number 15
loop_
_symmetry_equiv_pos_as_xyz
'x,y,z'
'-x,-y,-z'
'-x,y,-z+1/2'
'x,-y,z+1/2'
'x+1/2,y+1/2,z'
'-x+1/2,-y+1/2,-z'
'-x+1/2,y+1/2,-z+1/2'
'x+1/2,-y+1/2,z+1/2'
loop_
_atom_site_label
_atom_site_fract_x
_atom_site_fract_y
_atom_site_fract_z
Tl1 0.000 0.127 0.250
Pd1 0.226 0.498 0.290
Br1 0.077 0.409 0.058
Br2 0.120 0.087 0.979
Br3 0.225 0.382 0.542


Entry 2:
# PBE YHoInAu, relaxed
# Crystal system: tetragonal
# D(E_F): 0.559 states/eV per atom
# Calculated total energy: -4.944 eV/atom
# Energy above the most stable polymorph in this dataset: 0.000 eV/atom
# Energy relative to the elements: -2.7 eV per formula unit
data_YHoInAu
_cell_length_a 3.607
_cell_length_b 3.607
_cell_length_c 7.669
_cell_angle_alpha 90.00
_cell_angle_beta 90.00
_cell_angle_gamma 90.00
_symmetry_space_group_name_H-M 'P 4 m m'
_symmetry_Int_Tables_number 99
loop_
_symmetry_equiv_pos_as_xyz
'x,y,z'
'-y,x,z'
'-x,-y,z'
'y,-x,z'
'-x,y,z'
'y,x,z'
'x,-y,z'
'-y,-x,z'
loop_
_atom_site_label
_atom_site_fract_x
_atom_site_fract_y
_atom_site_fract_z
Y1 0.000 0.000 0.000
Ho1 0.000 0.000 0.463
In1 0.500 0.500 0.731
Au1 0.500 0.500 0.240


Entry 3:
# PBE Ca3HoIn2, relaxed
# Crystal system: orthorhombic
# D(E_F): 0.949 states/eV per atom
# Calculated total energy: -3.027 eV/atom
# Energy relative to the elements: -2.1 eV per formula unit
data_Ca3HoIn2
_cell_length_a 5.318
_cell_length_b 9.838
_cell_length_c 7.064
_cell_angle_alpha 90.00
_cell_angle_beta 90.00
_cell_angle_gamma 90.00
_symmetry_space_group_name_H-M 'P m c 21'
_symmetry_Int_Tables_number 26
loop_
_symmetry_equiv_pos_as_xyz
'x,y,z'
'-x,-y,z+1/2'
'-x,y,z'
'x,-y,z+1/2'
loop_
_atom_site_label
_atom_site_fract_x
_atom_site_fract_y
_atom_site_fract_z
Ca1 0.000 0.047 0.000
Ca2 0.000 0.316 0.357
Ca3 0.500 0.183 0.713
Ho1 0.500 0.455 0.066
In1 0.000 0.366 0.819
In2 0.500 0.150 0.246


Entry 4:
# PBE LaTcS2N, relaxed
# Crystal system: tetragonal
# D(E_F): 0.834 states/eV per atom
# Calculated total energy: -5.536 eV/atom
# Energy above the most stable polymorph in this dataset: 1.704 eV/atom
# Uncorrected formation energy: 0.84 eV/atom
data_LaTcS2N
_cell_length_a 5.515
_cell_length_b 5.515
_cell_length_c 4.287
_cell_angle_alpha 90.00
_cell_angle_beta 90.00
_cell_angle_gamma 90.00
_symmetry_space_group_name_H-M 'P 4/m m m'
_symmetry_Int_Tables_number 123
_symmetry_space_group_name_Hall '-P 4 2'
loop_
_atom_site_label
_atom_site_fract_x
_atom_site_fract_y
_atom_site_fract_z
La1 0.000 0.000 0.000
Tc1 0.500 0.500 0.500
S1 0.000 0.500 0.000
N1 0.000 0.000 0.500


Entry 5:
# PBE MnZnPt4, relaxed
# Crystal system: tetragonal
# D(E_F): 0.760 states/eV per atom
# Calculated total energy: -5.886 eV/atom
# Energy above the most stable polymorph in this dataset: 0.186 eV/atom
# Energy relative to the elements: -0.7 eV per formula unit
data_MnZnPt4
_cell_length_a 3.962
_cell_length_b 3.962
_cell_length_c 6.440
_cell_angle_alpha 90.00
_cell_angle_beta 90.00
_cell_angle_gamma 90.00
_symmetry_space_group_name_H-M 'P 4/m m m'
_symmetry_Int_Tables_number 123
_symmetry_space_group_name_Hall '-P 4 2'
loop_
_atom_site_label
_atom_site_fract_x
_atom_site_fract_y
_atom_site_fract_z
Mn1 0.000 0.000 0.000
Zn1 0.500 0.500 0.500
Pt1 0.000 0.500 0.245


Entry 6:
# PBE TcAsRuCl2, relaxed
# Crystal system: tetragonal
# D(E_F): 0.957 states/eV per atom
# Calculated total energy: -4.752 eV/atom
# Uncorrected formation energy: 0.84 eV/atom
data_TcAsRuCl2
_cell_length_a 4.640
_cell_length_b 4.640
_cell_length_c 5.112
_cell_angle_alpha 90.00
_cell_angle_beta 90.00
_cell_angle_gamma 90.00
_symmetry_space_group_name_H-M 'P 4/m m m'
_symmetry_Int_Tables_number 123
_symmetry_space_group_name_Hall '-P 4 2'
loop_
_atom_site_label
_atom_site_fract_x
_atom_site_fract_y
_atom_site_fract_z
Tc1 0.000 0.000 0.000
As1 0.500 0.500 0.000
Ru1 0.500 0.500 0.500
Cl1 0.000 0.500 0.500


Entry 7:
# PBE V2PdPt5Rh, relaxed
# Crystal system: tetragonal
# D(E_F): 1.280 states/eV per atom
# Calculated total energy: -6.698 eV/atom
# Energy relative to the elements: 0.7 eV per formula unit
data_V2PdPt5Rh
_cell_length_a 7.221
_cell_length_b 7.221
_cell_length_c 10.994
_cell_angle_alpha 90.00
_cell_angle_beta 90.00
_cell_angle_gamma 90.00
_symmetry_space_group_name_H-M 'I 4/m c m'
_symmetry_Int_Tables_number 140
_symmetry_space_group_name_Hall '-I 4 2c'
loop_
_atom_site_label
_atom_site_fract_x
_atom_site_fract_y
_atom_site_fract_z
V1 0.104 0.396 0.000
Pd1 0.000 0.000 0.250
Pt1 0.000 0.000 0.000
Pt2 0.211 0.289 0.371
Rh1 0.000 0.500 0.250


Entry 8:
# PBE SbRu2Pt2, relaxed
# Crystal system: tetragonal
# D(E_F): 1.524 states/eV per atom
# Calculated total energy: -6.649 eV/atom
# Uncorrected formation energy: 0.30 eV/atom
data_SbRu2Pt2
_cell_length_a 3.699
_cell_length_b 3.699
_cell_length_c 12.836
_cell_angle_alpha 90.00
_cell_angle_beta 90.00
_cell_angle_gamma 90.00
_symmetry_space_group_name_H-M 'I 4/m m m'
_symmetry_Int_Tables_number 139
_symmetry_space_group_name_Hall '-I 4 2'
loop_
_atom_site_label
_atom_site_fract_x
_atom_site_fract_y
_atom_site_fract_z
Sb1 0.000 0.000 0.000
Ru1 0.000 0.000 0.402
Pt1 0.000 0.500 0.250


Entry 9:
# PBE Cu3SbS2, relaxed
# Crystal system: monoclinic
# D(E_F): 0.595 states/eV per atom
# Calculated total energy: -4.203 eV/atom
# Uncorrected formation energy: -0.09 eV/atom
data_Cu3SbS2
_cell_length_a 20.877
_cell_length_b 3.804
_cell_length_c 5.941
_cell_angle_alpha 90.00
_cell_angle_beta 105.44
_cell_angle_gamma 90.00
_symmetry_space_group_name_H-M 'C 1 2/m 1'
_symmetry_Int_Tables_number 12
loop_
_symmetry_equiv_pos_as_xyz
'x,y,z'
'-x,-y,-z'
'-x,y,-z'
'x,-y,z'
'x+1/2,y+1/2,z'
'-x+1/2,-y+1/2,-z'
'-x+1/2,y+1/2,-z'
'x+1/2,-y+1/2,z'
loop_
_atom_site_label
_atom_site_fract_x
_atom_site_fract_y
_atom_site_fract_z
Cu1 0.053 0.000 0.191
Cu2 0.113 0.500 0.911
Cu3 0.227 0.500 0.802
Sb1 0.125 0.500 0.437
S1 0.056 0.000 0.804
S2 0.213 0.500 0.195


Entry 10:
# PBE ScTl2Au2, relaxed
# Crystal system: tetragonal
# D(E_F): 0.648 states/eV per atom
# Calculated total energy: -3.518 eV/atom
# Energy above the most stable polymorph in this dataset: 0.173 eV/atom
# Energy relative to the elements: 0.0 eV per formula unit
data_ScTl2Au2
_cell_length_a 8.064
_cell_length_b 8.064
_cell_length_c 3.583
_cell_angle_alpha 90.00
_cell_angle_beta 90.00
_cell_angle_gamma 90.00
_symmetry_space_group_name_H-M 'P 4/m b m'
_symmetry_Int_Tables_number 127
_symmetry_space_group_name_Hall '-P 4 2ab'
loop_
_atom_site_label
_atom_site_fract_x
_atom_site_fract_y
_atom_site_fract_z
Sc1 0.000 0.000 0.000
Tl1 0.139 0.361 0.000
Au1 0.164 0.664 0.500


Entry 11:
# PBE K2ZnAs2Pb, relaxed
# Crystal system: orthorhombic
# D(E_F): 0.177 states/eV per atom
# Calculated total energy: -3.055 eV/atom
# Energy relative to the elements: -1.9 eV per formula unit
data_K2ZnAs2Pb
_cell_length_a 6.905
_cell_length_b 15.358
_cell_length_c 6.806
_cell_angle_alpha 90.00
_cell_angle_beta 90.00
_cell_angle_gamma 90.00
_symmetry_space_group_name_H-M 'I b a m'
_symmetry_Int_Tables_number 72
_symmetry_space_group_name_Hall '-I 2 2c'
loop_
_atom_site_label
_atom_site_fract_x
_atom_site_fract_y
_atom_site_fract_z
K1 0.245 0.176 0.000
Zn1 0.000 0.000 0.250
As1 0.203 0.098 0.500
Pb1 0.000 0.500 0.250


Entry 12:
# PBE BaCa2CdO4, relaxed
# Crystal system: orthorhombic
# D(E_F): 0.000 states/eV per atom
# Calculated total energy: -5.606 eV/atom
# Uncorrected formation energy: -2.27 eV/atom
data_BaCa2CdO4
_cell_length_a 3.568
_cell_length_b 12.149
_cell_length_c 12.343
_cell_angle_alpha 90.00
_cell_angle_beta 90.00
_cell_angle_gamma 90.00
_symmetry_space_group_name_H-M 'C m c m'
_symmetry_Int_Tables_number 63
_symmetry_space_group_name_Hall '-C 2c 2'
loop_
_atom_site_label
_atom_site_fract_x
_atom_site_fract_y
_atom_site_fract_z
Ba1 0.000 0.121 0.250
Ca1 0.000 0.371 0.035
Cd1 0.000 0.145 0.750
O1 0.000 0.000 0.000
O2 0.000 0.257 0.612
O3 0.000 0.459 0.250


Entry 13:
# PBE LaP2N4, relaxed
# Crystal system: triclinic
# D(E_F): 0.000 states/eV per atom
# Calculated total energy: -7.787 eV/atom
# Energy above the most stable polymorph in this dataset: 0.000 eV/atom
# Uncorrected formation energy: -0.78 eV/atom
data_LaP2N4
_cell_length_a 5.338
_cell_length_b 5.569
_cell_length_c 6.857
_cell_angle_alpha 100.43
_cell_angle_beta 108.94
_cell_angle_gamma 93.43
_symmetry_space_group_name_H-M 'P 1'
_symmetry_Int_Tables_number 1
loop_
_symmetry_equiv_pos_as_xyz
'x,y,z'
loop_
_atom_site_label
_atom_site_fract_x
_atom_site_fract_y
_atom_site_fract_z
La1 0.000 0.000 0.000
La2 0.321 0.746 0.577
P1 0.381 0.566 0.017
P2 0.692 0.354 0.329
P3 0.733 0.870 0.384
P4 0.767 0.417 0.794
N1 0.086 0.569 0.842
N2 0.413 0.795 0.223
N3 0.423 0.309 0.106
N4 0.590 0.395 0.534
N5 0.596 0.637 0.899
N6 0.775 0.928 0.627
N7 0.860 0.112 0.315
N8 0.873 0.608 0.327


Entry 14:
# PBE Sm8Ho5Pu, relaxed
# Crystal system: tetragonal
# D(E_F): 1.637 states/eV per atom
# Calculated total energy: -5.085 eV/atom
# Energy relative to the elements: 3.8 eV per formula unit
data_Sm8Ho5Pu
_cell_length_a 10.086
_cell_length_b 10.086
_cell_length_c 9.143
_cell_angle_alpha 90.00
_cell_angle_beta 90.00
_cell_angle_gamma 90.00
_symmetry_space_group_name_H-M 'I -4'
_symmetry_Int_Tables_number 82
loop_
_symmetry_equiv_pos_as_xyz
'x,y,z'
'y,-x,-z'
'-x,-y,z'
'-y,x,-z'
'x+1/2,y+1/2,z+1/2'
'y+1/2,-x+1/2,-z+1/2'
'-x+1/2,-y+1/2,z+1/2'
'-y+1/2,x+1/2,-z+1/2'
loop_
_atom_site_label
_atom_site_fract_x
_atom_site_fract_y
_atom_site_fract_z
Sm1 0.035 0.160 0.310
Sm2 0.154 0.252 0.958
Ho1 0.000 0.500 0.250
Ho2 0.075 0.346 0.621
Pu1 0.000 0.000 0.000


Entry 15:
# PBE MnSi3S, relaxed
# Crystal system: cubic
# D(E_F): 1.069 states/eV per atom
# Calculated total energy: -5.613 eV/atom
# Energy above the most stable polymorph in this dataset: 0.000 eV/atom
# Uncorrected formation energy: 0.30 eV/atom
data_MnSi3S
_cell_length_a 4.414
_cell_length_b 4.414
_cell_length_c 4.414
_cell_angle_alpha 90.00
_cell_angle_beta 90.00
_cell_angle_gamma 90.00
_symmetry_space_group_name_H-M 'P m -3 m'
_symmetry_Int_Tables_number 221
_symmetry_space_group_name_Hall '-P 4 2 3'
loop_
_atom_site_label
_atom_site_fract_x
_atom_site_fract_y
_atom_site_fract_z
Mn1 0.000 0.000 0.000
Si1 0.000 0.000 0.500
S1 0.500 0.500 0.500


Entry 16:
# PBE CePuInPt, relaxed
# Crystal system: cubic
# D(E_F): 1.944 states/eV per atom
# Calculated total energy: -7.763 eV/atom
# Energy relative to the elements: -2.0 eV per formula unit
data_CePuInPt
_cell_length_a 7.104
_cell_length_b 7.104
_cell_length_c 7.104
_cell_angle_alpha 90.00
_cell_angle_beta 90.00
_cell_angle_gamma 90.00
_symmetry_space_group_name_H-M 'F -4 3 m'
_symmetry_Int_Tables_number 216
_symmetry_space_group_name_Hall 'F -4 2 3'
loop_
_atom_site_label
_atom_site_fract_x
_atom_site_fract_y
_atom_site_fract_z
Ce1 0.000 0.000 0.000
Pu1 0.250 0.250 0.250
In1 0.000 0.000 0.500
Pt1 0.250 0.250 0.750


Entry 17:
# PBE ScNiOs, relaxed
# Crystal system: cubic
# D(E_F): 2.023 states/eV per atom
# Calculated total energy: -6.963 eV/atom
# Energy above the most stable polymorph in this dataset: 1.267 eV/atom
# Energy relative to the elements: 2.5 eV per formula unit
data_ScNiOs
_cell_length_a 5.976
_cell_length_b 5.976
_cell_length_c 5.976
_cell_angle_alpha 90.00
_cell_angle_beta 90.00
_cell_angle_gamma 90.00
_symmetry_space_group_name_H-M 'F -4 3 m'
_symmetry_Int_Tables_number 216
_symmetry_space_group_name_Hall 'F -4 2 3'
loop_
_atom_site_label
_atom_site_fract_x
_atom_site_fract_y
_atom_site_fract_z
Sc1 0.000 0.000 0.000
Ni1 0.250 0.250 0.250
Os1 0.250 0.250 0.750


Entry 18:
# PBE TbZrIrRh, relaxed
# Crystal system: tetragonal
# D(E_F): 0.501 states/eV per atom
# Calculated total energy: -8.164 eV/atom
# Energy above the most stable polymorph in this dataset: 0.000 eV/atom
# Energy relative to the elements: -3.3 eV per formula unit
data_TbZrIrRh
_cell_length_a 3.354
_cell_length_b 3.354
_cell_length_c 6.876
_cell_angle_alpha 90.00
_cell_angle_beta 90.00
_cell_angle_gamma 90.00
_symmetry_space_group_name_H-M 'P 4 m m'
_symmetry_Int_Tables_number 99
loop_
_symmetry_equiv_pos_as_xyz
'x,y,z'
'-y,x,z'
'-x,-y,z'
'y,-x,z'
'-x,y,z'
'y,x,z'
'x,-y,z'
'-y,-x,z'
loop_
_atom_site_label
_atom_site_fract_x
_atom_site_fract_y
_atom_site_fract_z
Tb1 0.000 0.000 0.000
Zr1 0.000 0.000 0.496
Ir1 0.500 0.500 0.272
Rh1 0.500 0.500 0.725


Entry 19:
# PBE Sm8PdPt2, relaxed
# Crystal system: monoclinic
# D(E_F): 1.271 states/eV per atom
# Calculated total energy: -5.482 eV/atom
# Energy above the most stable polymorph in this dataset: 0.095 eV/atom
# Energy relative to the elements: -5.3 eV per formula unit
data_Sm8PdPt2
_cell_length_a 8.570
_cell_length_b 12.867
_cell_length_c 6.180
_cell_angle_alpha 90.00
_cell_angle_beta 108.47
_cell_angle_gamma 90.00
_symmetry_space_group_name_H-M 'C 1 m 1'
_symmetry_Int_Tables_number 8
loop_
_symmetry_equiv_pos_as_xyz
'x,y,z'
'x,-y,z'
'x+1/2,y+1/2,z'
'x+1/2,-y+1/2,z'
loop_
_atom_site_label
_atom_site_fract_x
_atom_site_fract_y
_atom_site_fract_z
Sm1 0.000 0.000 0.000
Sm2 0.077 0.370 0.802
Sm3 0.156 0.130 0.581
Sm4 0.226 0.500 0.368
Sm5 0.368 0.217 0.185
Pd1 0.356 0.000 0.010
Pt1 0.365 0.313 0.683


Entry 20:
# PBE Ba2YTe, relaxed
# Crystal system: orthorhombic
# D(E_F): 1.231 states/eV per atom
# Calculated total energy: -3.893 eV/atom
# Uncorrected formation energy: -0.53 eV/atom
data_Ba2YTe
_cell_length_a 4.313
_cell_length_b 4.364
_cell_length_c 19.898
_cell_angle_alpha 90.00
_cell_angle_beta 90.00
_cell_angle_gamma 90.00
_symmetry_space_group_name_H-M 'I m m m'
_symmetry_Int_Tables_number 71
_symmetry_space_group_name_Hall '-I 2 2'
loop_
_atom_site_label
_atom_site_fract_x
_atom_site_fract_y
_atom_site_fract_z
Ba1 0.000 0.000 0.163
Y1 0.000 0.500 0.000
Te1 0.000 0.500 0.500